Below is crystalline SrNdAgBr6 at its relaxed geometry, with properties calculated at the PBE level.

a = 7.329 Å, b = 7.329 Å, c = 13.732 Å
α = 90.00°, β = 90.00°, γ = 120.00°
Fractional coordinates of all 18 atoms:
Sr1 0.000 0.000 0.000
Sr2 0.000 0.000 0.500
Nd1 0.333 0.667 0.250
Nd2 0.667 0.333 0.750
Ag1 0.333 0.667 0.750
Ag2 0.667 0.333 0.250
Br1 0.001 0.348 0.128
Br2 0.001 0.654 0.372
Br3 0.346 0.348 0.372
Br4 0.346 0.999 0.128
Br5 0.348 0.001 0.628
Br6 0.348 0.346 0.872
Br7 0.652 0.654 0.128
Br8 0.652 0.999 0.372
Br9 0.654 0.001 0.872
Br10 0.654 0.652 0.628
Br11 0.999 0.346 0.628
Br12 0.999 0.652 0.872

* space group: P-31c
* magnetic moment: 0.000 μB per cell
* uncorrected energy: -0.275 Ry per atom

Below is crystalline NdTlAgBr5 at its relaxed geometry, with properties calculated at the PBE level.

a = 8.072 Å, b = 8.072 Å, c = 10.851 Å
α = 102.61°, β = 102.61°, γ = 109.37°
Fractional coordinates of all 16 atoms:
Nd1 0.000 0.000 0.000
Nd2 0.000 0.000 0.500
Tl1 0.361 0.639 0.750
Tl2 0.639 0.361 0.250
Ag1 0.311 0.689 0.250
Ag2 0.689 0.311 0.750
Br1 0.073 0.681 0.390
Br2 0.085 0.915 0.750
Br3 0.260 0.377 0.057
Br4 0.319 0.927 0.110
Br5 0.377 0.260 0.557
Br6 0.623 0.740 0.443
Br7 0.681 0.073 0.890
Br8 0.740 0.623 0.943
Br9 0.915 0.085 0.250
Br10 0.927 0.319 0.610

* space group: C2/c
* magnetic moment: 0.000 μB per cell
* uncorrected energy: -0.259 Ry per atom

Below is crystalline NdTlAg2Br6 at its relaxed geometry, with properties calculated at the PBE level.

a = 8.109 Å, b = 8.109 Å, c = 8.109 Å
α = 55.16°, β = 55.16°, γ = 55.16°
Fractional coordinates of all 10 atoms:
Nd1 0.000 0.000 0.000
Tl1 0.518 0.518 0.518
Ag1 0.324 0.324 0.324
Ag2 0.810 0.810 0.810
Br1 0.067 0.411 0.729
Br2 0.164 0.975 0.584
Br3 0.411 0.729 0.067
Br4 0.584 0.164 0.975
Br5 0.729 0.067 0.411
Br6 0.975 0.584 0.164

* space group: R3
* magnetic moment: 0.000 μB per cell
* uncorrected energy: -0.244 Ry per atom

Below is crystalline NiAgBr3 at its relaxed geometry, with properties calculated at the PBE level.

a = 8.226 Å, b = 3.787 Å, c = 9.243 Å
α = 90.00°, β = 108.39°, γ = 90.00°
Fractional coordinates of all 10 atoms:
Ni1 0.153 0.250 0.157
Ni2 0.847 0.750 0.843
Ag1 0.449 0.750 0.603
Ag2 0.551 0.250 0.397
Br1 0.063 0.250 0.868
Br2 0.213 0.250 0.447
Br3 0.375 0.750 0.161
Br4 0.625 0.250 0.839
Br5 0.787 0.750 0.553
Br6 0.937 0.750 0.132

* space group: P2_1/m
* magnetic moment: 3.919 μB per cell
* relative energy among the computed polymorphs: 0 meV per atom